Material: HfNb2B
Method: DFT, PBE
State: optimized geometry

Cell: 6.3449 6.3449 6.3449 Å, 90.00 90.00 90.00°
Space group Fm-3m (No. 225)
Asymmetric unit:
Hf 0.0000 0.0000 0.0000 x4
Nb 0.2500 0.2500 0.2500 x8
B 0.0000 0.0000 0.5000 x4

**Excess energy over the best structure of this formula in the dataset**: 863 meV/atom
**DFT formation energy**: 0.579 eV/atom